# PBE Sn2HS, relaxed
data_Sn2HS
_space_group_name_H-M_alt 'P 1'
_space_group_IT_number 1
_space_group_name_Hall 'P 1'
_cell_length_a 4.8346
_cell_length_b 4.8346
_cell_length_c 4.8346
_cell_angle_alpha 60.00
_cell_angle_beta 60.00
_cell_angle_gamma 60.00
loop_
_atom_site_label
_atom_site_fract_x
_atom_site_fract_y
_atom_site_fract_z
Sn1 0.7500 0.7500 0.7500
Sn2 0.2500 0.2500 0.2500
H1 0.0000 0.0000 0.0000
S1 0.5000 0.5000 0.5000
# theoretical density = 5.6 g/cm3
# electronic total energy = -3.5428 eV per atom
# relative energy among the computed polymorphs = 0.55 eV per formula unit

# PBE PrSmDyMg, relaxed
data_PrSmDyMg
_space_group_name_H-M_alt 'P 1'
_space_group_IT_number 1
_space_group_name_Hall 'P 1'
_cell_length_a 3.6965
_cell_length_b 3.6965
_cell_length_c 9.1421
_cell_angle_alpha 90.00
_cell_angle_beta 90.00
_cell_angle_gamma 90.00
loop_
_atom_site_label
_atom_site_fract_x
_atom_site_fract_y
_atom_site_fract_z
Pr1 0.0000 0.0000 0.0750
Dy1 0.5000 0.5000 0.3463
Mg1 0.0000 0.0000 0.5665
Sm1 0.5000 0.5000 0.7969
# calculated formation energy = -0.03 eV/atom
# theoretical density = 6.4 g/cm3
# electronic total energy = -3.9553 eV per atom
# relative energy among the computed polymorphs = 0.00 eV per formula unit

# PBE MgScVNi, relaxed
data_MgScVNi
_space_group_name_H-M_alt 'P 1'
_space_group_IT_number 1
_space_group_name_Hall 'P 1'
_cell_length_a 3.0881
_cell_length_b 3.0881
_cell_length_c 7.2855
_cell_angle_alpha 90.00
_cell_angle_beta 90.00
_cell_angle_gamma 90.00
loop_
_atom_site_label
_atom_site_fract_x
_atom_site_fract_y
_atom_site_fract_z
V1 0.0000 0.0000 0.7319
Ni1 0.5000 0.5000 0.5717
Mg1 0.5000 0.5000 0.0027
Sc1 0.0000 0.0000 0.3324
# calculated formation energy = 0.03 eV/atom
# theoretical density = 4.3 g/cm3
# electronic total energy = -5.6781 eV per atom
# relative energy among the computed polymorphs = 0.00 eV per formula unit

# PBE Th4ZnOs, relaxed
data_Th4ZnOs
_space_group_name_H-M_alt 'P 1'
_space_group_IT_number 1
_space_group_name_Hall 'P 1'
_cell_length_a 6.8981
_cell_length_b 7.3791
_cell_length_c 8.5894
_cell_angle_alpha 110.07
_cell_angle_beta 108.01
_cell_angle_gamma 102.42
loop_
_atom_site_label
_atom_site_fract_x
_atom_site_fract_y
_atom_site_fract_z
Th1 0.7148 0.0392 0.4462
Th2 0.2852 0.9608 0.5538
Th3 0.0477 0.8019 0.0769
Th4 0.7686 0.5930 0.5538
Th5 0.5292 0.2750 0.0769
Th6 0.9523 0.1981 0.9231
Th7 0.4708 0.7250 0.9231
Th8 0.2314 0.4070 0.4462
Os1 0.8417 0.0917 0.1834
Os2 0.1583 0.9083 0.8166
Zn1 0.3674 0.6174 0.2349
Zn2 0.6326 0.3826 0.7651
# calculated formation energy = -0.02 eV/atom
# theoretical density = 10.8 g/cm3
# electronic total energy = -7.0491 eV per atom
# relative energy among the computed polymorphs = 1.18 eV per formula unit

# PBE Ba4Pu3BiO12, relaxed
data_Ba4Pu3BiO12
_space_group_name_H-M_alt 'P 1'
_space_group_IT_number 1
_space_group_name_Hall 'P 1'
_cell_length_a 7.6752
_cell_length_b 7.6752
_cell_length_c 7.6752
_cell_angle_alpha 109.47
_cell_angle_beta 109.47
_cell_angle_gamma 109.47
loop_
_atom_site_label
_atom_site_fract_x
_atom_site_fract_y
_atom_site_fract_z
Pu1 0.5000 0.5000 0.0000
Pu2 0.5000 0.0000 0.5000
Pu3 0.0000 0.5000 0.5000
O1 0.0000 0.2605 0.2605
O2 0.7500 0.5000 0.2500
O3 0.2500 0.5000 0.7500
O4 0.7500 0.2500 0.5000
O5 0.5000 0.2500 0.7500
O6 0.2605 0.2605 0.0000
O7 0.5000 0.7500 0.2500
O8 0.0000 0.7395 0.7395
O9 0.2500 0.7500 0.5000
O10 0.2605 0.0000 0.2605
O11 0.7395 0.7395 0.0000
O12 0.7395 0.0000 0.7395
Ba1 0.0000 0.0000 0.5000
Ba2 0.5000 0.0000 0.0000
Ba3 0.5000 0.5000 0.5000
Ba4 0.0000 0.5000 0.0000
Bi1 0.0000 0.0000 0.0000
# theoretical density = 8.0 g/cm3
# electronic total energy = -8.4081 eV per atom
# energy relative to the elements, uncorrected = -2.7048 eV/atom

# PBE Ba2In3Pd5, relaxed
data_Ba2In3Pd5
_space_group_name_H-M_alt 'P 1'
_space_group_IT_number 1
_space_group_name_Hall 'P 1'
_cell_length_a 6.5500
_cell_length_b 9.2689
_cell_length_c 9.2689
_cell_angle_alpha 74.02
_cell_angle_beta 69.31
_cell_angle_gamma 69.31
loop_
_atom_site_label
_atom_site_fract_x
_atom_site_fract_y
_atom_site_fract_z
In1 0.2500 0.0000 0.0000
In2 0.1396 0.2629 0.4579
In3 0.6396 0.4579 0.2629
In4 0.3604 0.5421 0.7371
In5 0.8604 0.7371 0.5421
In6 0.7500 0.0000 0.0000
Pd1 0.1117 0.0465 0.7301
Pd2 0.7500 0.5000 0.5000
Pd3 0.0340 0.2160 0.2160
Pd4 0.4660 0.7840 0.7840
Pd5 0.2500 0.5000 0.5000
Pd6 0.6117 0.7301 0.0465
Pd7 0.5340 0.2160 0.2160
Pd8 0.9660 0.7840 0.7840
Pd9 0.8883 0.9535 0.2699
Pd10 0.3883 0.2699 0.9535
Ba1 0.6279 0.1365 0.6077
Ba2 0.8721 0.3923 0.8635
Ba3 0.3721 0.8635 0.3923
Ba4 0.1279 0.6077 0.1365
# calculated formation energy = -0.56 eV/atom
# theoretical density = 7.9 g/cm3
# electronic total energy = -4.3593 eV per atom

# PBE TlCuPb2, relaxed
data_TlCuPb2
_space_group_name_H-M_alt 'P 1'
_space_group_IT_number 1
_space_group_name_Hall 'P 1'
_cell_length_a 5.5928
_cell_length_b 5.5928
_cell_length_c 5.5928
_cell_angle_alpha 127.93
_cell_angle_beta 127.93
_cell_angle_gamma 76.74
loop_
_atom_site_label
_atom_site_fract_x
_atom_site_fract_y
_atom_site_fract_z
Tl1 0.2500 0.7500 0.5000
Cu1 0.7500 0.2500 0.5000
Pb1 0.5000 0.5000 0.0000
Pb2 0.0000 0.0000 0.0000
# calculated formation energy = 0.27 eV/atom
# theoretical density = 10.7 g/cm3
# electronic total energy = -3.1977 eV per atom

# PBE Ta3TiAs, relaxed
data_Ta3TiAs
_space_group_name_H-M_alt 'P 1'
_space_group_IT_number 1
_space_group_name_Hall 'P 1'
_cell_length_a 4.7115
_cell_length_b 4.7115
_cell_length_c 4.7115
_cell_angle_alpha 90.00
_cell_angle_beta 90.00
_cell_angle_gamma 90.00
loop_
_atom_site_label
_atom_site_fract_x
_atom_site_fract_y
_atom_site_fract_z
Ti1 0.0000 0.0000 0.0000
Ta1 0.0000 0.0000 0.5000
Ta2 0.0000 0.5000 0.0000
Ta3 0.5000 0.0000 0.0000
As1 0.5000 0.5000 0.5000
# calculated formation energy = 1.43 eV/atom
# theoretical density = 10.6 g/cm3
# electronic total energy = -8.1926 eV per atom
# relative energy among the computed polymorphs = 3.21 eV per formula unit

# PBE CdCuAuO4, relaxed
data_CdCuAuO4
_space_group_name_H-M_alt 'P 1'
_space_group_IT_number 1
_space_group_name_Hall 'P 1'
_cell_length_a 5.5815
_cell_length_b 7.5289
_cell_length_c 6.0134
_cell_angle_alpha 113.54
_cell_angle_beta 90.00
_cell_angle_gamma 111.76
loop_
_atom_site_label
_atom_site_fract_x
_atom_site_fract_y
_atom_site_fract_z
Au1 0.5000 0.0000 0.5000
Au2 0.5000 0.0000 0.0000
Cd1 0.8576 0.7152 0.1076
Cd2 0.1424 0.2848 0.8924
O1 0.7496 0.4992 0.7048
O2 0.2504 0.5008 0.2952
O3 0.7496 0.4992 0.2945
O4 0.2668 0.0165 0.7583
O5 0.7497 0.0165 0.7583
O6 0.2503 0.9835 0.2417
O7 0.2504 0.5008 0.7055
O8 0.7332 0.9835 0.2417
Cu1 0.0000 0.5000 0.5000
Cu2 0.5000 0.5000 0.5000
# theoretical density = 6.8 g/cm3
# electronic total energy = -4.4725 eV per atom
# energy relative to the elements, uncorrected = -0.4552 eV/atom

# PBE Sr2In4BiAu3, relaxed
data_Sr2In4BiAu3
_space_group_name_H-M_alt 'P 1'
_space_group_IT_number 1
_space_group_name_Hall 'P 1'
_cell_length_a 4.7457
_cell_length_b 4.7457
_cell_length_c 12.1313
_cell_angle_alpha 90.00
_cell_angle_beta 90.00
_cell_angle_gamma 90.00
loop_
_atom_site_label
_atom_site_fract_x
_atom_site_fract_y
_atom_site_fract_z
Au1 0.0000 0.0000 0.5000
Au2 0.5000 0.0000 0.8710
Au3 0.0000 0.5000 0.1290
In1 0.0000 0.5000 0.3519
In2 0.5000 0.0000 0.6481
In3 0.0000 0.0000 0.0000
In4 0.5000 0.5000 0.0000
Bi1 0.5000 0.5000 0.5000
Sr1 0.0000 0.5000 0.7617
Sr2 0.5000 0.0000 0.2383
# calculated formation energy = -0.45 eV/atom
# theoretical density = 8.7 g/cm3
# electronic total energy = -3.2572 eV per atom

# PBE HoZnOs, relaxed
data_HoZnOs
_space_group_name_H-M_alt 'P 1'
_space_group_IT_number 1
_space_group_name_Hall 'P 1'
_cell_length_a 4.8924
_cell_length_b 4.8924
_cell_length_c 6.6313
_cell_angle_alpha 79.76
_cell_angle_beta 128.72
_cell_angle_gamma 113.14
loop_
_atom_site_label
_atom_site_fract_x
_atom_site_fract_y
_atom_site_fract_z
Ho1 0.7169 0.3358 0.0527
Ho2 0.2831 0.6642 0.9473
Zn1 0.0000 0.0000 0.5000
Zn2 0.5000 0.5000 0.5000
Os1 0.2601 0.9949 0.2550
Os2 0.7399 0.0051 0.7450
# calculated formation energy = 0.03 eV/atom
# theoretical density = 12.3 g/cm3
# electronic total energy = -5.6598 eV per atom

# PBE Cd5Pt, relaxed
data_Cd5Pt
_space_group_name_H-M_alt 'P 1'
_space_group_IT_number 1
_space_group_name_Hall 'P 1'
_cell_length_a 3.0734
_cell_length_b 8.4327
_cell_length_c 4.7959
_cell_angle_alpha 90.00
_cell_angle_beta 90.00
_cell_angle_gamma 79.50
loop_
_atom_site_label
_atom_site_fract_x
_atom_site_fract_y
_atom_site_fract_z
Cd1 0.6638 0.6723 0.0000
Cd2 0.9953 0.0093 0.0000
Cd3 0.2354 0.5292 0.5000
Cd4 0.5424 0.9151 0.5000
Cd5 0.3409 0.3182 0.0000
Pt1 0.8888 0.2225 0.5000
# calculated formation energy = -0.10 eV/atom
# theoretical density = 10.3 g/cm3
# electronic total energy = -1.8670 eV per atom